A crystal of Ta2InN relaxed with PBEsol. Source: Alexandria, functional meta-GGA SCAN.

## Properties
DOS(E_F), states/eV/f.u.: 4.98
Spin magnetization, μB/f.u.: 0.00
ΔE_f (raw), meV per atom: 1118.3
Final energy, eV per atom: -42.843

Lattice parameters (Å, degrees): 4.431 4.431 4.431 60.00 60.00 60.00
Atoms (fractional coordinates):
1 Ta 0.250 0.250 0.250
2 Ta 0.750 0.750 0.750
3 In 0.000 0.000 0.000
4 N 0.500 0.500 0.500

***

A crystal of MgRu2 relaxed with PBEsol. Source: Alexandria, functional meta-GGA SCAN.

## Properties
DOS(E_F), states/eV/f.u.: 2.76
Spin magnetization, μB/f.u.: 0.00
Final energy, eV per atom: -24.673
ΔE_f, eV per atom: 0.203

Lattice parameters (Å, degrees): 4.351 4.351 2.695 90.00 90.00 120.00
Atoms (fractional coordinates):
1 Mg 0.000 0.000 0.000
2 Ru 0.333 0.667 0.500
3 Ru 0.667 0.333 0.500

***

A crystal of NaCa2Si3O9 relaxed with PBEsol. Source: Alexandria, functional meta-GGA SCAN.

## Properties
Spin magnetization, μB/f.u.: 1.06
ΔE_f (raw), meV per atom: -2961.7
Final energy, eV per atom: -10.273

Lattice parameters (Å, degrees): 6.906 7.060 8.007 95.80 102.27 90.47
Atoms (fractional coordinates):
1 Na 0.239 0.155 0.443
2 Na 0.761 0.845 0.557
3 Ca 0.088 0.651 0.856
4 Ca 0.411 0.360 0.148
5 Ca 0.589 0.640 0.852
6 Ca 0.912 0.349 0.144
7 Si 0.090 0.162 0.779
8 Si 0.237 0.644 0.456
9 Si 0.450 0.844 0.218
10 Si 0.550 0.156 0.782
11 Si 0.763 0.356 0.544
12 Si 0.910 0.838 0.221
13 O 0.007 0.043 0.196
14 O 0.032 0.771 0.406
15 O 0.109 0.331 0.933
16 O 0.207 0.445 0.333
17 O 0.290 0.628 0.659
18 O 0.309 0.107 0.738
19 O 0.344 0.047 0.185
20 O 0.392 0.676 0.061
21 O 0.412 0.777 0.401
22 O 0.588 0.223 0.599
23 O 0.608 0.324 0.939
24 O 0.656 0.953 0.815
25 O 0.691 0.893 0.262
26 O 0.710 0.372 0.341
27 O 0.793 0.555 0.667
28 O 0.891 0.669 0.067
29 O 0.968 0.229 0.594
30 O 0.993 0.957 0.804

***

A crystal of Ba2ScSe relaxed with PBEsol. Source: Alexandria, functional meta-GGA SCAN.

## Properties
DOS(E_F), states/eV/f.u.: 3.71
Spin magnetization, μB/f.u.: 1.04
ΔE_f (raw), meV per atom: -346.7
Final energy, eV per atom: -28.701

Lattice parameters (Å, degrees): 6.624 6.624 6.624 137.84 137.84 61.15
Atoms (fractional coordinates):
1 Ba 0.000 0.000 0.000
2 Ba 0.750 0.250 0.500
3 Sc 0.500 0.500 0.000
4 Se 0.250 0.750 0.500

***

- Which value of spin magnetization does entry 1 give?
  0.00 μB/f.u.